Record 1
A plane-wave DFT calculation with GGA-PBE was carried out for LiCa2LaPd after structural relaxation.

For the spin magnetization, the calculation gives 0.00 Bohr magnetons per cell. For the energy of formation from the pure elements, the calculation gives -0.225 eV per atom. The total energy is -17.16 eV/f.u.

Cell and atoms, written as CIF:
```
data_LiCa2LaPd
_chemical_formula_sum 'Li1 Ca2 La1 Pd1'
_cell_length_a 5.726
_cell_length_b 5.726
_cell_length_c 5.558
_cell_angle_alpha 90.00
_cell_angle_beta 90.00
_cell_angle_gamma 90.00
_space_group_name_H-M_alt 'P 4/m m m'
_space_group_IT_number 123
_space_group_name_Hall '-P 4 2'
loop_
_atom_site_label
_atom_site_type_symbol
_atom_site_fract_x
_atom_site_fract_y
_atom_site_fract_z
Li1 Li 0.000 0.000 0.000
Ca1 Ca 0.000 0.500 0.500
La1 La 0.500 0.500 0.000
Pd1 Pd 0.500 0.500 0.500
```

---

Record 2
A plane-wave DFT calculation with GGA-PBE was carried out for LiCaLaPm after structural relaxation.

For the spin magnetization, the calculation gives 0.01 Bohr magnetons per cell. For the energy of formation from the pure elements, the calculation gives 0.209 eV per atom. The total energy is -12.76 eV/f.u.

Cell and atoms, written as CIF:
```
data_LiCaLaPm
_chemical_formula_sum 'Li4 Ca4 La4 Pm4'
_cell_length_a 8.161
_cell_length_b 8.161
_cell_length_c 8.161
_cell_angle_alpha 90.00
_cell_angle_beta 90.00
_cell_angle_gamma 90.00
_space_group_name_H-M_alt 'F -4 3 m'
_space_group_IT_number 216
_space_group_name_Hall 'F -4 2 3'
loop_
_atom_site_label
_atom_site_type_symbol
_atom_site_fract_x
_atom_site_fract_y
_atom_site_fract_z
Li1 Li 0.000 0.000 0.000
Ca1 Ca 0.250 0.250 0.250
La1 La 0.250 0.250 0.750
Pm1 Pm 0.000 0.000 0.500
```

---

Record 3
A plane-wave DFT calculation with GGA-PBE was carried out for LiCaLaPr after structural relaxation.

For the spin magnetization, the calculation gives 0.00 Bohr magnetons per cell. For the energy of formation from the pure elements, the calculation gives 0.189 eV per atom. The total energy is -12.87 eV/f.u.

Cell and atoms, written as CIF:
```
data_LiCaLaPr
_chemical_formula_sum 'Li4 Ca4 La4 Pr4'
_cell_length_a 8.198
_cell_length_b 8.198
_cell_length_c 8.198
_cell_angle_alpha 90.00
_cell_angle_beta 90.00
_cell_angle_gamma 90.00
_space_group_name_H-M_alt 'F -4 3 m'
_space_group_IT_number 216
_space_group_name_Hall 'F -4 2 3'
loop_
_atom_site_label
_atom_site_type_symbol
_atom_site_fract_x
_atom_site_fract_y
_atom_site_fract_z
Li1 Li 0.000 0.000 0.000
Ca1 Ca 0.000 0.000 0.500
La1 La 0.250 0.250 0.750
Pr1 Pr 0.250 0.250 0.250
```

---

Record 4
A plane-wave DFT calculation with GGA-PBE was carried out for LiCa2LaPt after structural relaxation.

For the spin magnetization, the calculation gives 0.00 Bohr magnetons per cell. For the energy of formation from the pure elements, the calculation gives -0.419 eV per atom. The total energy is -18.98 eV/f.u.

Cell and atoms, written as CIF:
```
data_LiCa2LaPt
_chemical_formula_sum 'Li1 Ca2 La1 Pt1'
_cell_length_a 5.718
_cell_length_b 5.718
_cell_length_c 5.547
_cell_angle_alpha 90.00
_cell_angle_beta 90.00
_cell_angle_gamma 90.00
_space_group_name_H-M_alt 'P 4/m m m'
_space_group_IT_number 123
_space_group_name_Hall '-P 4 2'
loop_
_atom_site_label
_atom_site_type_symbol
_atom_site_fract_x
_atom_site_fract_y
_atom_site_fract_z
Li1 Li 0.000 0.000 0.000
Ca1 Ca 0.000 0.500 0.500
La1 La 0.500 0.500 0.000
Pt1 Pt 0.500 0.500 0.500
```

---

Record 5
A plane-wave DFT calculation with GGA-PBE was carried out for Li2CaLaPt2 after structural relaxation.

For the spin magnetization, the calculation gives 0.00 Bohr magnetons per cell. For the energy of formation from the pure elements, the calculation gives -0.738 eV per atom. The total energy is -27.27 eV/f.u.

Cell and atoms, written as CIF:
```
data_Li2CaLaPt2
_chemical_formula_sum 'Li2 Ca1 La1 Pt2'
_cell_length_a 4.3780
_cell_length_b 4.3780
_cell_length_c 7.6581
_cell_angle_alpha 90.00
_cell_angle_beta 90.00
_cell_angle_gamma 120.00
_space_group_name_H-M_alt 'P -3 m 1'
_space_group_IT_number 164
_space_group_name_Hall '-P 3 2"'
loop_
_atom_site_label
_atom_site_type_symbol
_atom_site_fract_x
_atom_site_fract_y
_atom_site_fract_z
Li1 Li 0.3333 0.6667 0.2201
Ca1 Ca 0.0000 0.0000 0.0000
La1 La 0.0000 0.0000 0.5000
Pt1 Pt 0.3333 0.6667 0.7433
```

---

Record 6
A plane-wave DFT calculation with GGA-PBE was carried out for LiCaLa2Rh after structural relaxation.

For the spin magnetization, the calculation gives 0.00 Bohr magnetons per cell. For the energy of formation from the pure elements, the calculation gives -0.251 eV per atom. The total energy is -22.37 eV/f.u. The value obtained for the distance to the lowest polymorph of the same formula is 0 meV/atom.

Cell and atoms, written as CIF:
```
data_LiCaLa2Rh
_chemical_formula_sum 'Li1 Ca1 La2 Rh1'
_cell_length_a 5.523
_cell_length_b 5.523
_cell_length_c 5.800
_cell_angle_alpha 90.00
_cell_angle_beta 90.00
_cell_angle_gamma 90.00
_space_group_name_H-M_alt 'P 4/m m m'
_space_group_IT_number 123
_space_group_name_Hall '-P 4 2'
loop_
_atom_site_label
_atom_site_type_symbol
_atom_site_fract_x
_atom_site_fract_y
_atom_site_fract_z
Li1 Li 0.000 0.000 0.000
Ca1 Ca 0.500 0.500 0.000
La1 La 0.000 0.500 0.500
Rh1 Rh 0.500 0.500 0.500
```

---

Record 7
A plane-wave DFT calculation with GGA-PBE was carried out for LiCaLa2Rh after structural relaxation.

For the spin magnetization, the calculation gives 0.00 Bohr magnetons per cell. For the energy of formation from the pure elements, the calculation gives -0.196 eV per atom. The total energy is -22.10 eV/f.u. The value obtained for the distance to the lowest polymorph of the same formula is 54 meV/atom.

Cell and atoms, written as CIF:
```
data_LiCaLa2Rh
_chemical_formula_sum 'Li1 Ca1 La2 Rh1'
_cell_length_a 5.478
_cell_length_b 5.478
_cell_length_c 5.473
_cell_angle_alpha 90.00
_cell_angle_beta 90.00
_cell_angle_gamma 90.00
_space_group_name_H-M_alt 'P 4/m m m'
_space_group_IT_number 123
_space_group_name_Hall '-P 4 2'
loop_
_atom_site_label
_atom_site_type_symbol
_atom_site_fract_x
_atom_site_fract_y
_atom_site_fract_z
Li1 Li 0.000 0.000 0.000
Ca1 Ca 0.500 0.500 0.000
La1 La 0.000 0.500 0.500
Rh1 Rh 0.000 0.000 0.500
```

---

Record 8
A plane-wave DFT calculation with GGA-PBE was carried out for LiCa2LaRu after structural relaxation.

For the spin magnetization, the calculation gives 0.00 Bohr magnetons per cell. For the energy of formation from the pure elements, the calculation gives 0.000 eV per atom. The total energy is -20.12 eV/f.u.

Cell and atoms, written as CIF:
```
data_LiCa2LaRu
_chemical_formula_sum 'Li1 Ca2 La1 Ru1'
_cell_length_a 5.715
_cell_length_b 5.715
_cell_length_c 5.226
_cell_angle_alpha 90.00
_cell_angle_beta 90.00
_cell_angle_gamma 90.00
_space_group_name_H-M_alt 'P 4/m m m'
_space_group_IT_number 123
_space_group_name_Hall '-P 4 2'
loop_
_atom_site_label
_atom_site_type_symbol
_atom_site_fract_x
_atom_site_fract_y
_atom_site_fract_z
Li1 Li 0.000 0.000 0.000
Ca1 Ca 0.000 0.500 0.500
La1 La 0.500 0.500 0.000
Ru1 Ru 0.500 0.500 0.500
```